Record 1
Compound: Tb2CePu3P6
Source: Alexandria via LeMat-Bulk
Functional: PBE
Structure: optimized geometry

Lattice parameters (Å, degrees): 6.985 6.985 6.938 99.66 99.66 120.00
Element x y z (fractional)
Tb 0.167 0.833 0.000
Tb 0.833 0.167 0.000
Ce 0.500 0.500 0.000
Pu 0.000 0.000 0.500
Pu 0.333 0.667 0.500
Pu 0.667 0.333 0.500
P 0.080 0.414 0.743
P 0.251 0.251 0.256
P 0.414 0.080 0.743
P 0.586 0.920 0.257
P 0.749 0.749 0.744
P 0.920 0.586 0.257

Output
Energy   -8.920 eV/atom
Calculated formation energy   -31.49 kcal/mol of atoms



Record 2
Compound: TbCe2Pu3P6
Source: Alexandria via LeMat-Bulk
Functional: PBE
Structure: optimized geometry

Lattice parameters (Å, degrees): 7.002 7.002 6.964 99.65 99.65 119.99
Element x y z (fractional)
Tb 0.000 0.000 0.000
Ce 0.333 0.667 0.000
Ce 0.667 0.333 0.000
Pu 0.167 0.833 0.500
Pu 0.500 0.500 0.500
Pu 0.833 0.167 0.500
P 0.085 0.418 0.256
P 0.247 0.247 0.743
P 0.418 0.085 0.256
P 0.582 0.915 0.744
P 0.753 0.753 0.257
P 0.915 0.582 0.744

Output
Energy   -9.012 eV/atom
Calculated formation energy   -31.10 kcal/mol of atoms



Record 3
Compound: Tb3Ce2PuP6
Source: Alexandria via LeMat-Bulk
Functional: PBE
Structure: optimized geometry

Lattice parameters (Å, degrees): 9.037 9.037 8.072 102.86 102.86 25.88
Element x y z (fractional)
Tb 0.000 0.000 0.000
Tb 0.333 0.333 0.666
Tb 0.667 0.667 0.334
Ce 0.334 0.334 0.169
Ce 0.666 0.666 0.831
Pu 0.000 0.000 0.500
P 0.166 0.166 0.582
P 0.167 0.167 0.084
P 0.499 0.499 0.746
P 0.501 0.501 0.254
P 0.833 0.833 0.916
P 0.834 0.834 0.418

Output
Energy   -7.546 eV/atom
Calculated formation energy   -34.59 kcal/mol of atoms



Question: Among the records above, which one has the lowest calculated formation energy?
Answer: Tb3Ce2PuP6